A relaxed AcRuC2O8 crystal, computed with PBE-GGA.

The structure in extended XYZ format:
```
12
Lattice="-4.341 2.961 0.111 -4.244 -1.508 -1.357 -3.732 -0.999 5.151" Properties=species:S:1:pos:R:3 pbc="T T T"
O -5.538 1.224 -0.370
C -9.247 0.308 3.434
O -8.688 -0.815 2.752
O -3.629 1.269 1.152
Ru 0.000 0.000 0.000
O -10.520 0.434 2.799
O -6.779 -0.769 4.274
Ac -6.159 0.227 1.952
O -3.840 -0.992 0.691
O -1.798 0.020 1.106
C -3.070 0.146 0.470
O -8.477 1.446 3.213
```

Symmetry: C2/m
Uncorrected formation energy, eV per atom: -1.431
E, eV for the cell shown: -88.67